Record 1
# Na4Np3ZnN8 (PBE, relaxed)
data_Na4Np3ZnN8
_chemical_formula_sum 'Na8 Np6 Zn2 N16'
_symmetry_space_group_name_H-M 'C 1 2/m 1'
_symmetry_Int_Tables_number 12
_cell_length_a 11.8175
_cell_length_b 6.7582
_cell_length_c 6.8529
_cell_angle_alpha 90.00
_cell_angle_beta 124.66
_cell_angle_gamma 90.00
loop_
_symmetry_equiv_pos_as_xyz
'x,y,z'
'-x,-y,-z'
'-x,y,-z'
'x,-y,z'
'x+1/2,y+1/2,z'
'-x+1/2,-y+1/2,-z'
'-x+1/2,y+1/2,-z'
'x+1/2,-y+1/2,z'
loop_
_atom_site_label
_atom_site_type_symbol
_atom_site_fract_x
_atom_site_fract_y
_atom_site_fract_z
Na1 Na 0.0000 0.0000 0.0000
Na2 Na 0.0000 0.5000 0.0000
Na3 Na 0.2500 0.2500 0.0000
Np1 Np 0.0000 0.0000 0.5000
Np2 Np 0.2500 0.2500 0.5000
Zn1 Zn 0.0000 0.5000 0.5000
N1 N 0.0281 0.2303 0.3143
N2 N 0.2289 0.0000 0.6854
N3 N 0.2454 0.5000 0.6893
# **N(E_F)**: 17.87 states/eV per cell

Record 2
# Na4ZrNp3N8 (PBE, relaxed)
data_Na4ZrNp3N8
_chemical_formula_sum 'Na12 Zr3 Np9 N24'
_symmetry_space_group_name_H-M 'R -3 m'
_symmetry_Int_Tables_number 166
_symmetry_space_group_name_Hall '-R 3 2"'
_cell_length_a 6.8463
_cell_length_b 6.8463
_cell_length_c 17.0432
_cell_angle_alpha 90.00
_cell_angle_beta 90.00
_cell_angle_gamma 120.00
loop_
_atom_site_label
_atom_site_type_symbol
_atom_site_fract_x
_atom_site_fract_y
_atom_site_fract_z
Na1 Na 0.0000 0.0000 0.0000
Na2 Na 0.0000 0.5000 0.0000
Zr1 Zr 0.0000 0.0000 0.5000
Np1 Np 0.0000 0.5000 0.5000
N1 N 0.0000 0.0000 0.2280
N2 N 0.0062 0.5031 0.7717
# **N(E_F)**: 37.65 states/eV per cell

Record 3
Compound: Na3Zr2NpN6
Source: the Alexandria database
Functional: PBE
Structure: relaxed

The structure in CIF format:
```
data_Na3Zr2NpN6
_chemical_formula_sum 'Na6 Zr4 Np2 N12'
_symmetry_space_group_name_H-M 'C 1 2/m 1'
_symmetry_Int_Tables_number 12
_cell_length_a 5.7642
_cell_length_b 9.9927
_cell_length_c 6.0225
_cell_angle_alpha 90.00
_cell_angle_beta 108.64
_cell_angle_gamma 90.00
loop_
_symmetry_equiv_pos_as_xyz
'x,y,z'
'-x,-y,-z'
'-x,y,-z'
'x,-y,z'
'x+1/2,y+1/2,z'
'-x+1/2,-y+1/2,-z'
'-x+1/2,y+1/2,-z'
'x+1/2,-y+1/2,z'
loop_
_atom_site_label
_atom_site_type_symbol
_atom_site_fract_x
_atom_site_fract_y
_atom_site_fract_z
Na1 Na 0.0000 0.0000 0.0000
Na2 Na 0.0000 0.3326 0.0000
Zr1 Zr 0.0000 0.1668 0.5000
Np1 Np 0.0000 0.5000 0.5000
N1 N 0.2227 0.3407 0.6910
N2 N 0.2458 0.0000 0.6894
```

Record 4
# Na2ZrNpN4 (PBE, relaxed)
data_Na2ZrNpN4
_chemical_formula_sum 'Na2 Zr1 Np1 N4'
_symmetry_space_group_name_H-M 'P 1 2/m 1'
_symmetry_Int_Tables_number 10
_cell_length_a 5.7504
_cell_length_b 3.4180
_cell_length_c 5.9907
_cell_angle_alpha 90.00
_cell_angle_beta 108.12
_cell_angle_gamma 90.00
loop_
_symmetry_equiv_pos_as_xyz
'x,y,z'
'-x,-y,-z'
'-x,y,-z'
'x,-y,z'
loop_
_atom_site_label
_atom_site_type_symbol
_atom_site_fract_x
_atom_site_fract_y
_atom_site_fract_z
Na1 Na 0.0000 0.0000 0.0000
Na2 Na 0.5000 0.5000 0.0000
Zr1 Zr 0.0000 0.5000 0.5000
Np1 Np 0.5000 0.0000 0.5000
N1 N 0.2425 0.0000 0.6868
N2 N 0.2789 0.5000 0.3112
# **N(E_F)**: 2.59 states/eV per cell

Record 5
# NaN4O12 (PBE, relaxed)
data_NaN4O12
_chemical_formula_sum 'Na2 N8 O24'
_symmetry_space_group_name_H-M 'I m -3'
_symmetry_Int_Tables_number 204
_symmetry_space_group_name_Hall '-I 2 2 3'
_cell_length_a 7.6341
_cell_length_b 7.6341
_cell_length_c 7.6341
_cell_angle_alpha 90.00
_cell_angle_beta 90.00
_cell_angle_gamma 90.00
loop_
_atom_site_label
_atom_site_type_symbol
_atom_site_fract_x
_atom_site_fract_y
_atom_site_fract_z
Na1 Na 0.0000 0.0000 0.0000
N1 N 0.2500 0.2500 0.2500
O1 O 0.0000 0.3514 0.0821
# **N(E_F)**: 14.29 states/eV per cell

Record 6
# Na8NO3 (PBE, relaxed)
data_Na8NO3
_chemical_formula_sum 'Na8 N1 O3'
_symmetry_space_group_name_H-M 'P m -3 m'
_symmetry_Int_Tables_number 221
_symmetry_space_group_name_Hall '-P 4 2 3'
_cell_length_a 5.6656
_cell_length_b 5.6656
_cell_length_c 5.6656
_cell_angle_alpha 90.00
_cell_angle_beta 90.00
_cell_angle_gamma 90.00
loop_
_atom_site_label
_atom_site_type_symbol
_atom_site_fract_x
_atom_site_fract_y
_atom_site_fract_z
Na1 Na 0.2469 0.2469 0.2469
N1 N 0.5000 0.5000 0.5000
O1 O 0.0000 0.0000 0.5000
# **N(E_F)**: 8.21 states/eV per cell

Record 7
# NaPN2O (PBE, relaxed)
data_NaPN2O
_chemical_formula_sum 'Na1 P1 N2 O1'
_symmetry_space_group_name_H-M 'P 4/m m m'
_symmetry_Int_Tables_number 123
_symmetry_space_group_name_Hall '-P 4 2'
_cell_length_a 3.4196
_cell_length_b 3.4196
_cell_length_c 3.7709
_cell_angle_alpha 90.00
_cell_angle_beta 90.00
_cell_angle_gamma 90.00
loop_
_atom_site_label
_atom_site_type_symbol
_atom_site_fract_x
_atom_site_fract_y
_atom_site_fract_z
Na1 Na 0.0000 0.0000 0.0000
P1 P 0.5000 0.5000 0.5000
N1 N 0.0000 0.5000 0.5000
O1 O 0.5000 0.5000 0.0000
# **N(E_F)**: 1.70 states/eV per cell

Record 8
# NaPN2O (PBE, relaxed)
data_NaPN2O
_chemical_formula_sum 'Na1 P1 N2 O1'
_symmetry_space_group_name_H-M 'P 4/m m m'
_symmetry_Int_Tables_number 123
_symmetry_space_group_name_Hall '-P 4 2'
_cell_length_a 4.2840
_cell_length_b 4.2840
_cell_length_c 4.0846
_cell_angle_alpha 90.00
_cell_angle_beta 90.00
_cell_angle_gamma 90.00
loop_
_atom_site_label
_atom_site_type_symbol
_atom_site_fract_x
_atom_site_fract_y
_atom_site_fract_z
Na1 Na 0.0000 0.0000 0.0000
P1 P 0.5000 0.5000 0.5000
N1 N 0.0000 0.5000 0.0000
O1 O 0.0000 0.0000 0.5000
# **N(E_F)**: 1.42 states/eV per cell

Record 9
# NaPbNO2 (PBE, relaxed)
data_NaPbNO2
_chemical_formula_sum 'Na1 Pb1 N1 O2'
_symmetry_space_group_name_H-M 'P 4/m m m'
_symmetry_Int_Tables_number 123
_symmetry_space_group_name_Hall '-P 4 2'
_cell_length_a 4.4249
_cell_length_b 4.4249
_cell_length_c 4.4805
_cell_angle_alpha 90.00
_cell_angle_beta 90.00
_cell_angle_gamma 90.00
loop_
_atom_site_label
_atom_site_type_symbol
_atom_site_fract_x
_atom_site_fract_y
_atom_site_fract_z
Na1 Na 0.0000 0.0000 0.0000
Pb1 Pb 0.5000 0.5000 0.5000
N1 N 0.5000 0.5000 0.0000
O1 O 0.0000 0.5000 0.5000
# **N(E_F)**: 1.34 states/eV per cell

Record 10
# NaPbNO2 (PBE, relaxed)
data_NaPbNO2
_chemical_formula_sum 'Na1 Pb1 N1 O2'
_symmetry_space_group_name_H-M 'P 4/m m m'
_symmetry_Int_Tables_number 123
_symmetry_space_group_name_Hall '-P 4 2'
_cell_length_a 4.3114
_cell_length_b 4.3114
_cell_length_c 4.3109
_cell_angle_alpha 90.00
_cell_angle_beta 90.00
_cell_angle_gamma 90.00
loop_
_atom_site_label
_atom_site_type_symbol
_atom_site_fract_x
_atom_site_fract_y
_atom_site_fract_z
Na1 Na 0.0000 0.0000 0.0000
Pb1 Pb 0.5000 0.5000 0.5000
N1 N 0.0000 0.0000 0.5000
O1 O 0.0000 0.5000 0.0000
# **N(E_F)**: 2.27 states/eV per cell

Number 1: electronic total energy -243.37 eV for the cell shown, formation energy without anion corrections -9.71 eV/f.u.. Number 2: electronic total energy -401.02 eV for the cell shown, formation energy without anion corrections -14.42 eV/f.u.. Number 3: electronic total energy -191.39 eV for the cell shown, formation energy without anion corrections -11.75 eV/f.u.. Number 4: electronic total energy -65.11 eV for the cell shown, formation energy without anion corrections -7.68 eV/f.u.. Number 5: electronic total energy -149.93 eV for the cell shown, formation energy without anion corrections 19.15 eV/f.u.. Number 6: electronic total energy -42.85 eV for the cell shown, formation energy without anion corrections -9.10 eV/f.u.. Number 7: electronic total energy -28.14 eV for the cell shown, formation energy without anion corrections 0.20 eV/f.u.. Number 8: electronic total energy -16.97 eV for the cell shown, formation energy without anion corrections 11.36 eV/f.u.. Number 9: electronic total energy -22.62 eV for the cell shown, formation energy without anion corrections 0.65 eV/f.u.. Number 10: electronic total energy -20.08 eV for the cell shown, formation energy without anion corrections 3.19 eV/f.u..